Crystalline ZrMo2Cl at its relaxed geometry, computed with GGA-PBEsol.

Cell: 3.1283 4.1202 5.1549 Å, 90.00 90.00 90.00°
With the nearest neighbours (Å) after each atom.
Fractional positions:
1 Mo 0.5000 0.5000 0.0000  4 Mo 2.59
2 Mo 0.0000 0.0000 0.0000  4 Mo 2.59
3 Cl 0.0000 0.5000 0.5000  4 Zr 2.59
4 Zr 0.5000 0.0000 0.5000  4 Cl 2.59

Calculated values
The calculation puts the uncorrected formation energy at 235.2 meV per atom. The calculation puts the relative energy among the computed polymorphs at 329 meV/atom. Its space group is Pmmm (47).